[1]
Below is a relaxed NaGeRh3 crystal, with properties calculated at the GGA-PBEsol level.

Calculated values
DFT formation energy: 52.3 kJ/mol of atoms
M_tot: 0.2 Bohr magnetons per cell
SG: No. 221
theoretical density: 7.17 g cm⁻³
E_tot: -5.6088 eV per atom

a b c (Å): 4.5411 4.5411 4.5411
angles (deg): 90.00 90.00 90.00
With the nearest neighbours (Å) after each atom.
Positions (direct):
Na 0.5000 0.5000 0.5000  12 Rh 3.21
Ge 0.0000 0.0000 0.0000  6 Rh 2.27
Rh 0.0000 0.5000 0.0000  2 Ge 2.27
Rh 0.0000 0.0000 0.5000  2 Ge 2.27
Rh 0.5000 0.0000 0.0000  2 Ge 2.27

=====

[2]
Below is a relaxed Na4SnGe2S6 crystal, with properties calculated at the GGA-PBEsol level.

Calculated values
formation energy from raw total energies: -819 meV/atom
M_tot: 0.0 Bohr magnetons per cell
SG: No. 5
theoretical density: 3.10 g cm⁻³
E_tot: -4.3608 eV per atom

a b c (Å): 6.7998 6.7998 7.6182
angles (deg): 98.17 98.17 119.61
With the nearest neighbours (Å) after each atom.
Positions (direct):
Na 0.4934 0.5066 0.0000  6 S 2.84-2.98
Na 0.3301 0.6699 0.5000  6 S 2.94-3.18
Na 0.6692 0.3308 0.5000  6 S 2.94-3.05
Na 0.8229 0.1771 0.0000  6 S 2.86-2.92
Sn 0.1736 0.8264 0.0000  6 S 2.75-2.97
Ge 0.0603 0.0605 0.6640  3 S 2.22-2.24, 1 Ge 2.40
Ge 0.9395 0.9397 0.3360  3 S 2.22-2.24, 1 Ge 2.40
S 0.4040 0.0935 0.7553  1 Ge 2.23
S 0.0823 0.3980 0.7484  1 Ge 2.22
S 0.6020 0.9177 0.2516  1 Ge 2.22
S 0.9065 0.5960 0.2447  1 Ge 2.23
S 0.7934 0.7772 0.7683  1 Ge 2.24
S 0.2228 0.2066 0.2317  1 Ge 2.24

=====

[3]
Below is a relaxed Na2ZnGe2S6 crystal, with properties calculated at the GGA-PBEsol level.

Calculated values
formation energy from raw total energies: -715 meV/atom
M_tot: 0.0 Bohr magnetons per cell
SG: No. 9
theoretical density: 2.98 g cm⁻³
E_tot: -4.4029 eV per atom

a b c (Å): 7.1391 7.1391 11.4188
angles (deg): 95.40 95.40 118.95
With the nearest neighbours (Å) after each atom.
Positions (direct):
Na 0.1513 0.7498 0.0218  5 S 2.77-2.97
Na 0.7498 0.1513 0.5218  5 S 2.77-2.97
Na 0.3471 0.3327 0.8877  4 S 2.77-3.02
Na 0.3327 0.3471 0.3877  4 S 2.77-3.02
Zn 0.7509 0.2626 0.1832  4 S 2.32-2.34
Zn 0.2626 0.7509 0.6832  4 S 2.32-2.34
Ge 0.6904 0.7353 0.1559  4 S 2.17-2.28
Ge 0.7353 0.6904 0.6559  4 S 2.17-2.28
Ge 0.7422 0.0278 0.9064  4 S 2.18-2.27
Ge 0.0278 0.7422 0.4064  4 S 2.18-2.27
S 0.9728 0.3068 0.0388  1 Ge 2.18, 1 Zn 2.33
S 0.3068 0.9728 0.5388  1 Ge 2.18, 1 Zn 2.33
S 0.5056 0.3872 0.1637  1 Ge 2.19, 1 Zn 2.32
S 0.3872 0.5056 0.6637  1 Ge 2.19, 1 Zn 2.32
S 0.5196 0.9046 0.2066  1 Ge 2.17, 1 Zn 2.34
S 0.9046 0.5196 0.7066  1 Ge 2.17, 1 Zn 2.34
S 0.9017 0.0447 0.7433  2 Ge 2.26-2.28
S 0.0447 0.9017 0.2433  2 Ge 2.26-2.28
S 0.4165 0.9828 0.8653  1 Ge 2.19, 1 Zn 2.33
S 0.9828 0.4165 0.3653  1 Ge 2.19, 1 Zn 2.33
S 0.7368 0.7290 0.9624  2 Ge 2.26-2.27
S 0.7290 0.7368 0.4624  2 Ge 2.26-2.27

=====

Question: Number 3 is which compound?
Answer: Na2ZnGe2S6